(1)
Computed, not measured: a geometry-optimized VNiHPd2 structure at the GGA-PBE level of DFT.

Computed properties:
Its energy above the lowest structure with this stoichiometry is 0.000 eV/atom. For the total DFT energy (no corrections), the calculation gives -5.798 eV per atom.

abc: 3.9566 3.9566 3.7372
angles: 90.00 90.00 90.00
Last column: magnetic moment on the atom in μB.
Element x y z (fractional)
Ni  0.0000  0.0000  0.5000  -0.10
H  0.0000  0.0000  0.0000  0.00
Pd  0.0000  0.5000  0.0000  0.02
Pd  0.5000  0.0000  0.0000  0.02
V  0.5000  0.5000  0.5000  1.96



(2)
Computed, not measured: a geometry-optimized VNiHPd2 structure at the GGA-PBE level of DFT.

Computed properties:
Its energy above the lowest structure with this stoichiometry is 0.028 eV/atom. For the total DFT energy (no corrections), the calculation gives -5.770 eV per atom.

abc: 3.8710 3.8710 3.9246
angles: 90.00 90.00 90.00
Last column: magnetic moment on the atom in μB.
Element x y z (fractional)
Ni  0.5000  0.5000  0.5000  -0.13
H  0.0000  0.0000  0.0000  0.00
Pd  0.0000  0.5000  0.0000  0.06
Pd  0.5000  0.0000  0.0000  0.06
V  0.0000  0.0000  0.5000  1.80



(3)
Computed, not measured: a geometry-optimized V2NiHPd structure at the GGA-PBE level of DFT.

Computed properties:
Its energy above the lowest structure with this stoichiometry is 0.000 eV/atom. For the total DFT energy (no corrections), the calculation gives -6.673 eV per atom.

abc: 3.7633 3.7633 3.8413
angles: 90.00 90.00 90.00
Element x y z (fractional)
Ni  0.0000  0.0000  0.5000
H  0.0000  0.0000  0.0000
Pd  0.5000  0.5000  0.5000
V  0.0000  0.5000  0.0000
V  0.5000  0.0000  0.0000



(4)
Computed, not measured: a geometry-optimized V2NiHPd structure at the GGA-PBE level of DFT.

Computed properties:
Its energy above the lowest structure with this stoichiometry is 0.057 eV/atom. For the total DFT energy (no corrections), the calculation gives -6.616 eV per atom.

abc: 3.7442 3.7442 3.9233
angles: 90.00 90.00 90.00
Element x y z (fractional)
Ni  0.5000  0.5000  0.5000
H  0.0000  0.0000  0.0000
Pd  0.0000  0.0000  0.5000
V  0.0000  0.5000  0.0000
V  0.5000  0.0000  0.0000



(5)
Computed, not measured: a geometry-optimized NiHPdW2 structure at the GGA-PBE level of DFT.

Computed properties:
For the total DFT energy (no corrections), the calculation gives -7.877 eV per atom.

abc: 3.9053 3.9053 3.9808
angles: 90.00 90.00 90.00
Element x y z (fractional)
Ni  0.0000  0.0000  0.5000
Pd  0.5000  0.5000  0.5000
W  0.0000  0.5000  0.0000
W  0.5000  0.0000  0.0000
H  0.0000  0.0000  0.0000



(6)
Computed, not measured: a geometry-optimized Y2NiHPd6 structure at the GGA-PBE level of DFT.

Computed properties:
For the total DFT energy (no corrections), the calculation gives -5.831 eV per atom.

abc: 6.1732 6.1769 6.1776
angles: 60.01 60.04 90.01
Last column: magnetic moment on the atom in μB.
Element x y z (fractional)
Y  0.7501  0.2501  0.4998  0.00
Y  0.2499  0.7499  0.5002  0.00
Ni  0.5000  0.5000  0.0000  0.34
H  0.0000  0.0000  0.0000  0.00
Pd  0.2269  0.2269  0.5462  0.01
Pd  0.7732  0.7733  0.0001  0.01
Pd  0.2268  0.7734  0.0000  0.01
Pd  0.7732  0.2266  0.0000  0.01
Pd  0.2268  0.2267  0.9999  0.01
Pd  0.7731  0.7731  0.4538  0.01



(7)
Computed, not measured: a geometry-optimized Y2NiHPd structure at the GGA-PBE level of DFT.

Computed properties:
Its energy above the lowest structure with this stoichiometry is 0.000 eV/atom. For the total DFT energy (no corrections), the calculation gives -6.073 eV per atom.

abc: 4.9001 4.9001 3.5292
angles: 90.00 90.00 90.00
Element x y z (fractional)
Y  0.0000  0.5000  0.0000
Y  0.5000  0.0000  0.0000
Ni  0.0000  0.0000  0.5000
Pd  0.5000  0.5000  0.5000
H  0.0000  0.0000  0.0000



(8)
Computed, not measured: a geometry-optimized YNi2H8Pd structure at the GGA-PBE level of DFT.

Computed properties:
For the total DFT energy (no corrections), the calculation gives -4.234 eV per atom.

abc: 4.6322 4.6322 6.0831
angles: 90.00 90.00 120.00
Element x y z (fractional)
Y  0.0000  0.0000  0.5000
Ni  0.3333  0.6667  0.6657
Ni  0.6667  0.3333  0.3343
H  0.1680  0.3360  0.8204
H  0.1680  0.8320  0.8204
H  0.6640  0.8320  0.8204
H  0.3360  0.1680  0.1796
H  0.6667  0.3333  0.5871
H  0.3333  0.6667  0.4129
H  0.8320  0.6640  0.1796
H  0.8320  0.1680  0.1796
Pd  0.0000  0.0000  0.0000



(9)
Computed, not measured: a geometry-optimized Y2NiHPd structure at the GGA-PBE level of DFT.

Computed properties:
Its energy above the lowest structure with this stoichiometry is 0.090 eV/atom. For the total DFT energy (no corrections), the calculation gives -5.983 eV per atom.

abc: 4.8887 4.8887 3.6333
angles: 90.00 90.00 90.00
Element x y z (fractional)
Y  0.0000  0.5000  0.0000
Y  0.5000  0.0000  0.0000
Ni  0.5000  0.5000  0.5000
Pd  0.0000  0.0000  0.5000
H  0.0000  0.0000  0.0000



(10)
Computed, not measured: a geometry-optimized Zn2NiHPd structure at the GGA-PBE level of DFT.

Computed properties:
For the total DFT energy (no corrections), the calculation gives -3.585 eV per atom.

abc: 4.2133 4.2133 3.2065
angles: 90.00 90.00 90.00
Element x y z (fractional)
Ni  0.0000  0.0000  0.5000
Zn  0.0000  0.5000  0.0000
Zn  0.5000  0.0000  0.0000
Pd  0.5000  0.5000  0.5000
H  0.0000  0.0000  0.0000



(11)
Computed, not measured: a geometry-optimized ZnNi2HPd structure at the GGA-PBE level of DFT.

Computed properties:
Its energy above the lowest structure with this stoichiometry is 0.000 eV/atom. For the total DFT energy (no corrections), the calculation gives -4.461 eV per atom.

abc: 3.6754 3.6754 3.9383
angles: 90.00 90.00 90.00
Last column: magnetic moment on the atom in μB.
Element x y z (fractional)
Ni  0.0000  0.5000  0.0000  0.32
Ni  0.5000  0.0000  0.0000  0.32
Zn  0.5000  0.5000  0.5000  0.00
Pd  0.0000  0.0000  0.5000  0.06
H  0.0000  0.0000  0.0000  0.00



(12)
Computed, not measured: a geometry-optimized ZnNi2HPd structure at the GGA-PBE level of DFT.

Computed properties:
Its energy above the lowest structure with this stoichiometry is 0.080 eV/atom. For the total DFT energy (no corrections), the calculation gives -4.380 eV per atom.

abc: 3.6119 3.6119 4.0743
angles: 90.00 90.00 90.00
Last column: magnetic moment on the atom in μB.
Element x y z (fractional)
Ni  0.0000  0.5000  0.0000  0.25
Ni  0.5000  0.0000  0.0000  0.25
Zn  0.0000  0.0000  0.5000  0.00
Pd  0.5000  0.5000  0.5000  0.08
H  0.0000  0.0000  0.0000  0.00